# Li4Ti3V3Sb2O16

An optimized crystal structure of Li4Ti3V3Sb2O16 (PBE with a Hubbard U, Alexandria via LeMat-Bulk).

Lattice parameters (Å, degrees): 5.981 6.007 10.525 90.35 90.02 119.68
Atoms (fractional coordinates):
Li (0.000, 0.000, 0.000)
Li (0.005, 0.005, 0.499)
Li (0.341, 0.674, 0.397)
Li (0.677, 0.341, 0.898)
Ti (0.178, 0.829, 0.729)
Ti (0.662, 0.826, 0.729)
Ti (0.831, 0.659, 0.232)
V (0.178, 0.346, 0.719)
V (0.347, 0.177, 0.219)
V (0.825, 0.173, 0.224)
Sb (0.336, 0.669, 0.021)
Sb (0.674, 0.337, 0.520)
O (0.002, 0.996, 0.817)
O (0.026, 0.526, 0.821)
O (0.150, 0.313, 0.116)
O (0.166, 0.852, 0.112)
O (0.319, 0.160, 0.612)
O (0.352, 0.693, 0.617)
O (0.496, 0.981, 0.824)
O (0.510, 0.523, 0.820)
O (0.523, 0.505, 0.322)
O (0.534, 0.027, 0.320)
O (0.690, 0.355, 0.115)
O (0.694, 0.852, 0.111)
O (0.851, 0.162, 0.613)
O (0.853, 0.696, 0.611)
O (0.986, 0.500, 0.324)
O (0.998, 0.000, 0.316)

Values from the calculation:
**Calculated density**: 4.16 g cm⁻³
**Space group**: P1
**DFT total energy**: -204.2 eV per cell